[1]
PmErZnSb after structural relaxation, computed with PBE.

Summary:
crystal system = cubic
energy relative to the elements, uncorrected = -0.527 eV/atom

Lattice parameters (Å, degrees): 5.245 5.245 5.245 60.00 60.00 60.00
Positions (direct):
Sb: 0.500 0.500 0.500
Zn: 0.000 0.000 0.000
Pm: 0.250 0.250 0.250
Er: 0.750 0.750 0.750

=====

[2]
Dy5Er2Mg5 after structural relaxation, computed with PBE.

Summary:
ΔH_f (0 K) = 0.011 eV/atom
crystal system = monoclinic
relative energy among the computed polymorphs = 44.1 meV/atom

Lattice parameters (Å, degrees): 5.263 6.581 11.286 108.42 90.00 113.57
Positions (direct):
Dy: 0.500 0.000 0.500
Dy: 0.658 0.317 0.982
Dy: 0.604 0.209 0.254
Dy: 0.396 0.791 0.746
Dy: 0.342 0.683 0.018
Er: 0.089 0.178 0.742
Er: 0.911 0.822 0.258
Mg: 0.173 0.345 0.477
Mg: 0.756 0.511 0.759
Mg: 0.244 0.489 0.241
Mg: 0.827 0.655 0.523
Mg: 0.000 0.000 0.000

=====

[3]
Th2Be4GePt3 after structural relaxation, computed with PBE.

Summary:
ΔH_f (0 K) = -0.746 eV/atom
crystal system = tetragonal

Lattice parameters (Å, degrees): 4.133 4.133 9.556 90.00 90.00 90.00
Positions (direct):
Th: 0.500 0.000 0.249
Th: 0.000 0.500 0.751
Be: 0.500 0.500 0.000
Be: 0.000 0.000 0.000
Be: 0.500 0.000 0.633
Be: 0.000 0.500 0.367
Ge: 0.500 0.500 0.500
Pt: 0.000 0.000 0.500
Pt: 0.500 0.000 0.880
Pt: 0.000 0.500 0.120

=====

[4]
TaCdInO2 after structural relaxation, computed with PBE.

Summary:
crystal system = tetragonal
energy relative to the elements, uncorrected = 0.636 eV/atom

Lattice parameters (Å, degrees): 4.156 5.736 4.156 90.00 90.00 90.00
Site moments in Bohr magnetons follow the coordinates.
Positions (direct):
Cd: 0.500 0.500 0.500  0.04
In: 0.000 0.000 0.000  0.01
O: 0.000 0.000 0.500  0.16
O: 0.500 0.000 0.000  0.12
Ta: 0.000 0.500 0.000  0.92

=====

[5]
Be3TePd after structural relaxation, computed with PBE.

Summary:
crystal system = cubic
relative energy among the computed polymorphs = 939.4 meV/atom
energy relative to the elements, uncorrected = 1.382 eV/atom

Lattice parameters (Å, degrees): 4.575 4.575 4.575 90.00 90.00 90.00
Positions (direct):
Be: 0.000 0.500 0.000
Be: 0.000 0.000 0.500
Be: 0.500 0.000 0.000
Te: 0.000 0.000 0.000
Pd: 0.500 0.500 0.500

=====

[6]
ZrSc2Si after structural relaxation, computed with PBE.

Summary:
crystal system = tetragonal
energy relative to the elements, uncorrected = -0.351 eV/atom

Lattice parameters (Å, degrees): 4.269 4.269 4.332 90.00 90.00 90.00
Positions (direct):
Sc: 0.000 0.000 0.000
Sc: 0.500 0.500 0.000
Si: 0.500 0.000 0.500
Zr: 0.000 0.500 0.500

=====

Computed values of total magnetization (unit: μB/f.u.) for the preceding records, in sequence: 0.00 0.00 0.00 1.81 0.00 0.00.